Record 1
La2Sm3DyHo6 | PBE-GGA | relaxed

The structure in POSCAR format:
```
La2Sm3DyHo6
1.0
3.115 -5.394 0.000
3.115 5.394 0.000
-2.070 0.000 11.641
La Sm Dy Ho
2 3 1 6
Cartesian
3.115 3.599 0.000
3.115 -3.599 0.000
-1.035 0.000 5.820
2.080 1.798 5.820
2.080 -1.798 5.820
3.115 0.000 0.000
0.006 1.792 8.709
1.049 0.000 2.934
0.006 -1.792 8.709
4.154 1.792 2.931
3.111 0.000 8.706
4.154 -1.792 2.931
```

**ρ**: 7.99 g/cm3
**Size of the total moment**: 0.00 Bohr magnetons per cell
**Volume**: 32.59 Å³ per atom
**Total energy**: -55.88 eV per cell
**Calculated formation energy**: 17 meV/atom

Record 2
LaSmDyHo | PBE-GGA | relaxed

The structure in POSCAR format:
```
LaSmDyHo
1.0
5.750 0.000 0.000
0.000 3.424 0.000
-0.006 0.000 6.812
La Sm Dy Ho
1 1 1 1
Cartesian
0.000 0.000 0.000
2.869 1.712 5.003
2.873 0.000 1.689
-0.003 0.000 3.445
```

**ρ**: 7.64 g/cm3
**Size of the total moment**: 0.00 Bohr magnetons per cell
**Volume**: 33.53 Å³ per atom
**Total energy**: -18.09 eV per cell
**Excess energy over the best structure of this formula in the dataset**: 0.30 eV per formula unit
**Calculated formation energy**: 183 meV/atom

Record 3
La2Sm3Dy6Ho | PBE-GGA | relaxed

The structure in POSCAR format:
```
La2Sm3Dy6Ho
1.0
3.120 -5.402 0.000
3.120 5.402 0.000
-2.074 0.000 11.691
La Sm Dy Ho
2 3 6 1
Cartesian
3.120 3.607 0.000
3.120 -3.607 0.000
-1.037 0.000 5.845
2.082 1.801 5.845
2.082 -1.801 5.845
0.005 1.795 8.748
1.052 0.000 2.947
0.005 -1.795 8.748
4.160 1.795 2.943
3.113 0.000 8.743
4.160 -1.795 2.943
3.120 0.000 0.000
```

**ρ**: 7.88 g/cm3
**Size of the total moment**: 0.00 Bohr magnetons per cell
**Volume**: 32.84 Å³ per atom
**Total energy**: -56.00 eV per cell
**Calculated formation energy**: 17 meV/atom

Record 4
LaSm2Dy4Ho | PBE-GGA | relaxed

The structure in POSCAR format:
```
LaSm2Dy4Ho
1.0
7.185 0.000 0.000
0.000 10.093 0.000
-0.007 0.000 7.194
La Sm Dy Ho
2 4 8 2
Cartesian
0.000 0.000 0.000
-0.003 0.000 3.597
0.000 5.047 0.000
3.592 0.000 0.000
3.592 5.047 0.000
3.589 5.047 3.597
1.807 2.543 1.812
1.803 2.545 5.389
1.807 7.551 1.812
1.803 7.548 5.389
5.375 2.545 1.805
5.372 2.543 5.382
5.375 7.548 1.805
5.372 7.551 5.382
-0.003 5.047 3.597
3.589 0.000 3.597
```

**ρ**: 7.99 g/cm3
**Size of the total moment**: 0.00 Bohr magnetons per cell
**Volume**: 32.61 Å³ per atom
**Total energy**: -74.43 eV per cell
**Calculated formation energy**: 17 meV/atom

Record 5
La4Sm2DyHo | PBE-GGA | relaxed

The structure in POSCAR format:
```
La4Sm2DyHo
1.0
5.220 0.000 0.000
0.000 5.258 0.000
-0.009 0.000 10.116
La Sm Dy Ho
4 2 1 1
Cartesian
5.216 0.000 2.534
-0.005 0.000 7.582
2.604 2.629 2.528
2.608 2.629 7.588
-0.004 2.629 5.058
2.610 0.000 0.000
0.000 2.629 0.000
2.606 0.000 5.058
```

**ρ**: 7.08 g/cm3
**Size of the total moment**: 0.00 Bohr magnetons per cell
**Volume**: 34.71 Å³ per atom
**Total energy**: -38.19 eV per cell
**Calculated formation energy**: 18 meV/atom

Record 6
La6SmDy2Ho | PBE-GGA | relaxed

The structure in POSCAR format:
```
La6SmDy2Ho
1.0
5.719 -3.539 0.000
5.719 3.539 0.000
-2.310 0.000 8.793
La Sm Dy Ho
6 1 2 1
Cartesian
3.135 1.574 1.703
0.542 0.000 3.768
5.994 1.574 7.089
3.135 -1.574 1.703
8.587 0.000 5.024
5.994 -1.574 7.089
4.564 0.000 4.396
2.846 0.000 7.331
6.283 0.000 1.462
0.000 0.000 0.000
```

**ρ**: 6.87 g/cm3
**Size of the total moment**: 0.01 Bohr magnetons per cell
**Volume**: 35.60 Å³ per atom
**Total energy**: -46.13 eV per cell
**Calculated formation energy**: 194 meV/atom

Record 7
La2SmDyHo | PBE-GGA | relaxed

The structure in POSCAR format:
```
La2SmDyHo
1.0
3.270 -8.283 0.000
3.270 8.283 0.000
0.000 0.000 6.539
La Sm Dy Ho
4 2 2 2
Cartesian
1.637 0.000 0.000
1.637 0.000 3.269
4.903 0.000 0.000
4.903 0.000 3.269
3.270 5.653 4.904
3.270 -5.653 1.635
3.270 4.119 1.635
3.270 -4.119 4.904
3.270 2.598 4.904
3.270 -2.598 1.635
```

**ρ**: 7.08 g/cm3
**Size of the total moment**: 0.00 Bohr magnetons per cell
**Volume**: 35.42 Å³ per atom
**Total energy**: -43.98 eV per cell
**Calculated formation energy**: 353 meV/atom

Record 8
La2SmDy4Ho | PBE-GGA | relaxed

The structure in POSCAR format:
```
La2SmDy4Ho
1.0
5.107 0.000 0.000
0.000 5.147 0.000
0.000 0.000 10.086
La Sm Dy Ho
2 1 4 1
Cartesian
0.000 0.000 0.000
2.554 2.574 5.043
0.000 0.000 5.043
0.000 2.574 2.507
0.000 2.574 7.579
2.554 0.000 2.514
2.554 0.000 7.572
2.554 2.574 0.000
```

**ρ**: 7.79 g/cm3
**Size of the total moment**: 0.00 Bohr magnetons per cell
**Volume**: 33.14 Å³ per atom
**Total energy**: -37.32 eV per cell
**Calculated formation energy**: 31 meV/atom

Record 9
La3Sm2DyHo6 | PBE-GGA | relaxed

The structure in POSCAR format:
```
La3Sm2DyHo6
1.0
3.124 -5.411 0.000
3.124 5.411 0.000
-2.078 0.000 11.652
La Sm Dy Ho
3 2 1 6
Cartesian
0.000 0.000 0.000
3.124 1.805 0.000
3.124 -1.805 0.000
2.085 3.609 5.826
2.085 -3.609 5.826
2.085 0.000 5.826
1.045 1.802 2.960
0.004 0.000 8.693
1.045 -1.802 2.960
3.125 1.802 8.692
4.165 0.000 2.959
3.125 -1.802 8.692
```

**ρ**: 7.88 g/cm3
**Size of the total moment**: 0.00 Bohr magnetons per cell
**Volume**: 32.83 Å³ per atom
**Total energy**: -56.07 eV per cell
**Calculated formation energy**: 18 meV/atom

Record 10
La2SmDyHo2 | PBE-GGA | relaxed

The structure in POSCAR format:
```
La2SmDyHo2
1.0
7.084 0.000 0.000
0.000 5.726 0.000
0.000 0.000 9.938
La Sm Dy Ho
4 2 2 4
Cartesian
0.000 0.000 0.000
1.771 2.863 1.705
3.542 0.000 0.000
5.313 2.863 8.233
0.000 2.863 4.969
3.542 2.863 4.969
1.771 0.000 6.585
5.313 0.000 3.353
1.771 0.000 3.330
1.771 2.863 8.277
5.313 0.000 6.608
5.313 2.863 1.661
```

**ρ**: 7.58 g/cm3
**Size of the total moment**: 0.00 Bohr magnetons per cell
**Volume**: 33.59 Å³ per atom
**Total energy**: -55.81 eV per cell
**Calculated formation energy**: 71 meV/atom

Record 11
La3Sm6Dy2Ho | PBE-GGA | relaxed

The structure in POSCAR format:
```
La3Sm6Dy2Ho
1.0
3.149 -5.459 0.000
3.149 5.459 0.000
-2.110 0.000 11.877
La Sm Dy Ho
3 6 2 1
Cartesian
0.000 0.000 0.000
3.149 1.817 0.000
3.149 -1.817 0.000
1.049 1.819 3.043
-0.009 0.000 8.833
1.049 -1.819 3.043
3.140 1.819 8.834
4.197 0.000 3.044
3.140 -1.819 8.834
2.094 3.640 5.939
2.094 -3.640 5.939
2.094 0.000 5.939
```

**ρ**: 7.36 g/cm3
**Size of the total moment**: 0.00 Bohr magnetons per cell
**Volume**: 34.03 Å³ per atom
**Total energy**: -56.62 eV per cell
**Calculated formation energy**: 21 meV/atom

Record 12
La2SmDyHo4 | PBE-GGA | relaxed

The structure in POSCAR format:
```
La2SmDyHo4
1.0
6.230 -3.600 0.000
6.230 3.600 0.000
-4.148 0.000 11.684
La Sm Dy Ho
4 2 2 8
Cartesian
0.000 0.000 0.000
-2.074 0.000 5.842
3.115 1.800 0.000
3.115 -1.800 0.000
6.230 0.000 0.000
4.156 0.000 5.842
1.041 1.800 5.842
1.041 -1.800 5.842
3.116 1.796 8.731
0.014 0.000 8.730
2.076 0.000 2.960
5.196 1.796 2.953
3.116 -1.796 8.731
6.237 0.000 8.724
8.299 0.000 2.954
5.196 -1.796 2.953
```

**ρ**: 7.92 g/cm3
**Size of the total moment**: 0.00 Bohr magnetons per cell
**Volume**: 32.76 Å³ per atom
**Total energy**: -74.66 eV per cell
**Calculated formation energy**: 20 meV/atom

Which formula does entry 1 have? La2Sm3DyHo6

What is the volume in the twelfth record? 32.76 Å³ per atom